1.
Entry from the Alexandria database: crystalline CsCeSb at its relaxed geometry (PBE-GGA).

```
data_CsCeSb
_cell_length_a 4.3383
_cell_length_b 4.3383
_cell_length_c 15.0058
_cell_angle_alpha 98.31
_cell_angle_beta 98.31
_cell_angle_gamma 90.00
_space_group_name_H-M_alt 'P 1'
_space_group_IT_number 1
_space_group_name_Hall 'P 1'
loop_
_atom_site_label
_atom_site_fract_x
_atom_site_fract_y
_atom_site_fract_z
Sb1 0.8237 0.8237 0.6474
Cs1 0.4144 0.4144 0.8288
Ce1 0.2874 0.2874 0.5747
Sb2 0.1763 0.1763 0.3526
Ce2 0.7126 0.7126 0.4253
Cs2 0.5856 0.5856 0.1712
```

Output
The calculation puts the formation energy from raw total energies at -617 meV per atom. As for the volume: 276.5 Å³ per cell. For the magnetic moment, the calculation gives 0.479 μB per atom.

***

2.
Entry from the Alexandria database: crystalline GdZnSnPt at its relaxed geometry (PBE-GGA).

```
data_GdZnSnPt
_cell_length_a 4.8702
_cell_length_b 4.8702
_cell_length_c 4.8702
_cell_angle_alpha 60.00
_cell_angle_beta 60.00
_cell_angle_gamma 60.00
_space_group_name_H-M_alt 'P 1'
_space_group_IT_number 1
_space_group_name_Hall 'P 1'
loop_
_atom_site_label
_atom_site_fract_x
_atom_site_fract_y
_atom_site_fract_z
Gd1 0.0000 0.0000 0.0000
Zn1 0.2500 0.2500 0.2500
Sn1 0.5000 0.5000 0.5000
Pt1 0.7500 0.7500 0.7500
```

Output
Its energy relative to the elements is -2.7 eV per formula unit. As for the volume: 81.7 Å³ per cell. For the magnetic moment, the calculation gives 1.746 μB per atom.

***

3.
Entry from the Alexandria database: crystalline HoTm2Ni at its relaxed geometry (PBE-GGA).

```
data_HoTm2Ni
_cell_length_a 3.6022
_cell_length_b 3.6022
_cell_length_c 9.5570
_cell_angle_alpha 79.14
_cell_angle_beta 79.14
_cell_angle_gamma 60.00
_space_group_name_H-M_alt 'P 1'
_space_group_IT_number 1
_space_group_name_Hall 'P 1'
loop_
_atom_site_label
_atom_site_fract_x
_atom_site_fract_y
_atom_site_fract_z
Tm1 0.7276 0.7276 0.8172
Ho1 0.5000 0.5000 0.5000
Ni1 0.0000 0.0000 0.0000
Tm2 0.2724 0.2724 0.1828
```

Output
Its energy relative to the elements is -0.4 eV per formula unit. The energy relative to the lowest polymorph listed for this composition comes out at 180 meV/atom. As for the volume: 104.8 Å³ per cell. For the magnetic moment, the calculation gives 0.000 μB per atom.

***

4.
Entry from the Alexandria database: crystalline Er3Ge6Pt20 at its relaxed geometry (PBE-GGA).

```
data_Er3Ge6Pt20
_cell_length_a 8.8742
_cell_length_b 8.8742
_cell_length_c 8.8742
_cell_angle_alpha 60.00
_cell_angle_beta 60.00
_cell_angle_gamma 60.00
_space_group_name_H-M_alt 'P 1'
_space_group_IT_number 1
_space_group_name_Hall 'P 1'
loop_
_atom_site_label
_atom_site_fract_x
_atom_site_fract_y
_atom_site_fract_z
Pt1 0.1393 0.6202 0.6202
Ge1 0.7304 0.2696 0.7304
Pt2 0.6202 0.6202 0.1393
Ge2 0.2696 0.7304 0.7304
Pt3 0.3463 0.0000 0.6537
Pt4 0.0000 0.3463 0.0000
Ge3 0.7304 0.7304 0.2696
Er1 0.0000 0.0000 0.0000
Ge4 0.2696 0.2696 0.7304
Pt5 0.3463 0.0000 0.0000
Pt6 0.6537 0.3463 0.0000
Pt7 0.8607 0.3798 0.3798
Pt8 0.0000 0.6537 0.3463
Er2 0.2500 0.2500 0.2500
Pt9 0.0000 0.0000 0.6537
Pt10 0.3798 0.3798 0.8607
Pt11 0.0000 0.0000 0.3463
Pt12 0.6202 0.1393 0.6202
Pt13 0.3798 0.8607 0.3798
Pt14 0.0000 0.6537 0.0000
Pt15 0.6537 0.0000 0.3463
Ge5 0.7304 0.2696 0.2696
Pt16 0.6537 0.0000 0.0000
Er3 0.7500 0.7500 0.7500
Ge6 0.2696 0.7304 0.2696
Pt17 0.0000 0.3463 0.6537
Pt18 0.6202 0.6202 0.6202
Pt19 0.3463 0.6537 0.0000
Pt20 0.3798 0.3798 0.3798
```

Output
Its energy relative to the elements is -17.0 eV per formula unit. As for the volume: 494.2 Å³ per cell. For the magnetic moment, the calculation gives 0.000 μB per atom.

***

5.
Entry from the Alexandria database: crystalline La4NdSm3 at its relaxed geometry (PBE-GGA).

```
data_La4NdSm3
_cell_length_a 3.5315
_cell_length_b 6.3425
_cell_length_c 12.9332
_cell_angle_alpha 93.57
_cell_angle_beta 97.85
_cell_angle_gamma 90.00
_space_group_name_H-M_alt 'P 1'
_space_group_IT_number 1
_space_group_name_Hall 'P 1'
loop_
_atom_site_label
_atom_site_fract_x
_atom_site_fract_y
_atom_site_fract_z
La1 0.7205 0.2432 0.4411
Sm1 0.8571 0.2515 0.7141
Sm2 0.0000 0.5000 0.0000
La2 0.1061 0.2400 0.2122
Nd1 0.5000 0.0000 0.0000
La3 0.8939 0.7600 0.7878
La4 0.2795 0.7568 0.5589
Sm3 0.1429 0.7485 0.2859
```

Output
Its energy relative to the elements is 1.6 eV per formula unit. The energy relative to the lowest polymorph listed for this composition comes out at 0 meV/atom. As for the volume: 286.4 Å³ per cell. For the magnetic moment, the calculation gives 0.000 μB per atom.

***

6.
Entry from the Alexandria database: crystalline YAs2Pd at its relaxed geometry (PBE-GGA).

```
data_YAs2Pd
_cell_length_a 3.5364
_cell_length_b 3.5364
_cell_length_c 9.0289
_cell_angle_alpha 78.71
_cell_angle_beta 78.71
_cell_angle_gamma 60.00
_space_group_name_H-M_alt 'P 1'
_space_group_IT_number 1
_space_group_name_Hall 'P 1'
loop_
_atom_site_label
_atom_site_fract_x
_atom_site_fract_y
_atom_site_fract_z
Pd1 0.5000 0.5000 0.5000
As1 0.1085 0.1085 0.6746
Y1 0.0000 0.0000 0.0000
As2 0.8915 0.8915 0.3254
```

Output
Its energy relative to the elements is -0.4 eV per formula unit. As for the volume: 95.3 Å³ per cell. For the magnetic moment, the calculation gives 0.000 μB per atom.